*P*
First-principles (GGA-PBE) data for VSiH3 after structural relaxation, as listed in Alexandria via LeMat-Bulk.

Cell lengths 3.326, 3.326, 3.326 Å; angles 90.00, 90.00, 90.00 degrees
Space group Pm-3m (No. 221)
Symmetry-distinct sites (fractional):
V  0.000  0.000  0.000 x1
Si  0.500  0.500  0.500 x1
H  0.000  0.500  0.500 x3

Results
DOS(E_F)	2.921	states/eV per cell
size of the total moment	0.00	μB/f.u.

=====

*Q*
First-principles (GGA-PBE) data for VSiH3 after structural relaxation, as listed in Alexandria via LeMat-Bulk.

Cell lengths 3.365, 3.365, 3.365 Å; angles 90.00, 90.00, 90.00 degrees
Space group Pm-3m (No. 221)
Symmetry-distinct sites (fractional):
V  0.000  0.000  0.000 x1
Si  0.500  0.500  0.500 x1
H  0.000  0.000  0.500 x3

Results
DOS(E_F)	1.649	states/eV per cell
size of the total moment	0.00	μB/f.u.

=====

Which structure loses on stability? *P* does.

=====

*P*
First-principles (GGA-PBE) data for V2SiH2 after structural relaxation, as listed in Alexandria via LeMat-Bulk.

Cell lengths 2.971, 2.971, 10.141 Å; angles 90.00, 90.00, 90.00 degrees
Space group I4/mmm (No. 139)
Symmetry-distinct sites (fractional):
V  0.000  0.000  0.141 x4
Si  0.000  0.000  0.500 x2
H  0.000  0.500  0.250 x4

Results
DOS(E_F)	9.414	states/eV per cell
size of the total moment	0.31	μB/f.u.

=====

*Q*
First-principles (GGA-PBE) data for V2SiH2 after structural relaxation, as listed in Alexandria via LeMat-Bulk.

Cell lengths 4.802, 8.212, 5.121 Å; angles 90.00, 117.91, 90.00 degrees
Space group C2/c (No. 15)
Symmetry-distinct sites (fractional):
V  0.000  0.049  0.250 x4
V  0.000  0.298  0.750 x4
Si  0.000  0.375  0.250 x4
H  0.121  0.124  0.989 x8

Results
DOS(E_F)	12.421	states/eV per cell
size of the total moment	0.00	μB/f.u.

=====

Which structure loses on stability? *Q* does.

=====

*P*
First-principles (GGA-PBE) data for V4Si2H after structural relaxation, as listed in Alexandria via LeMat-Bulk.

Cell lengths 3.583, 3.583, 13.090 Å; angles 90.00, 90.00, 90.00 degrees
Space group I4/mmm (No. 139)
Symmetry-distinct sites (fractional):
V  0.000  0.000  0.171 x4
V  0.000  0.500  0.000 x4
Si  0.000  0.000  0.359 x4
H  0.000  0.000  0.000 x2

Results
DOS(E_F)	10.179	states/eV per cell
size of the total moment	0.00	μB/f.u.

=====

*Q*
First-principles (GGA-PBE) data for V4Si2H after structural relaxation, as listed in Alexandria via LeMat-Bulk.

Cell lengths 4.696, 5.031, 7.175 Å; angles 90.00, 103.87, 90.00 degrees
Space group P2_1/m (No. 11)
Symmetry-distinct sites (fractional):
V  0.160  0.250  0.065 x2
V  0.261  0.511  0.707 x4
V  0.264  0.750  0.349 x2
Si  0.247  0.250  0.406 x2
Si  0.369  0.750  0.029 x2
H  0.083  0.250  0.806 x2

Results
DOS(E_F)	9.946	states/eV per cell
size of the total moment	0.00	μB/f.u.

=====

Which structure loses on stability? *P* does.